[1]
# Rb2AuI5, optimized geometry, DFT PBE
# E_form (uncorrected) (kcal/mol of atoms): -18.116
# M_tot (μB per cell): 0.0
# Final energy (Ry/atom): -0.1768
data_Rb2AuI5
_cell_length_a 8.749
_cell_length_b 8.749
_cell_length_c 9.611
_cell_angle_alpha 90.00
_cell_angle_beta 90.00
_cell_angle_gamma 90.00
_symmetry_space_group_name_H-M 'I 4 m m'
_symmetry_Int_Tables_number 107
_symmetry_space_group_name_Hall 'I 4 -2'
loop_
_atom_site_label
_atom_site_fract_x
_atom_site_fract_y
_atom_site_fract_z
Rb1 0.000 0.500 0.000
Au1 0.000 0.000 0.257
I1 0.000 0.000 0.694
I2 0.220 0.220 0.248

---

[2]
# Rb12Au5I, optimized geometry, DFT PBE
# E_form (uncorrected) (kcal/mol of atoms): -7.009
# M_tot (μB per cell): 0.0
# Final energy (Ry/atom): -0.1430
data_Rb12Au5I
_cell_length_a 8.519
_cell_length_b 15.308
_cell_length_c 16.802
_cell_angle_alpha 90.00
_cell_angle_beta 90.17
_cell_angle_gamma 90.00
_symmetry_space_group_name_H-M 'C 1 2/m 1'
_symmetry_Int_Tables_number 12
loop_
_symmetry_equiv_pos_as_xyz
'x,y,z'
'-x,-y,-z'
'-x,y,-z'
'x,-y,z'
'x+1/2,y+1/2,z'
'-x+1/2,-y+1/2,-z'
'-x+1/2,y+1/2,-z'
'x+1/2,-y+1/2,z'
loop_
_atom_site_label
_atom_site_fract_x
_atom_site_fract_y
_atom_site_fract_z
Rb1 0.147 0.000 0.376
Rb2 0.162 0.167 0.117
Rb3 0.163 0.500 0.118
Rb4 0.168 0.326 0.376
Au1 0.000 0.000 0.000
Au2 0.000 0.166 0.500
Au3 0.000 0.334 0.000
I1 0.000 0.500 0.500

---

[3]
# RbAu2I2, optimized geometry, DFT PBE
# E_form (uncorrected) (kcal/mol of atoms): -5.400
# M_tot (μB per cell): 0.0
# Final energy (Ry/atom): -0.1734
data_RbAu2I2
_cell_length_a 5.661
_cell_length_b 5.661
_cell_length_c 10.425
_cell_angle_alpha 90.00
_cell_angle_beta 90.00
_cell_angle_gamma 90.00
_symmetry_space_group_name_H-M 'I 4/m m m'
_symmetry_Int_Tables_number 139
_symmetry_space_group_name_Hall '-I 4 2'
loop_
_atom_site_label
_atom_site_fract_x
_atom_site_fract_y
_atom_site_fract_z
Rb1 0.000 0.000 0.000
Au1 0.000 0.000 0.370
I1 0.000 0.500 0.250

---

[4]
# Rb9Au4I2, optimized geometry, DFT PBE
# E_form (uncorrected) (kcal/mol of atoms): -11.691
# M_tot (μB per cell): 4.8
# Final energy (Ry/atom): -0.1594
data_Rb9Au4I2
_cell_length_a 15.307
_cell_length_b 8.838
_cell_length_c 24.937
_cell_angle_alpha 90.00
_cell_angle_beta 90.00
_cell_angle_gamma 90.00
_symmetry_space_group_name_H-M 'C 1 2/c 1'
_symmetry_Int_Tables_number 15
loop_
_symmetry_equiv_pos_as_xyz
'x,y,z'
'-x,-y,-z'
'-x,y,-z+1/2'
'x,-y,z+1/2'
'x+1/2,y+1/2,z'
'-x+1/2,-y+1/2,-z'
'-x+1/2,y+1/2,-z+1/2'
'x+1/2,-y+1/2,z+1/2'
loop_
_atom_site_label
_atom_site_fract_x
_atom_site_fract_y
_atom_site_fract_z
Rb1 0.000 0.175 0.250
Rb2 0.005 0.132 0.916
Rb3 0.163 0.337 0.750
Rb4 0.181 0.308 0.416
Rb5 0.187 0.324 0.084
Au1 0.167 0.000 0.003
Au2 0.167 0.000 0.325
I1 0.000 0.500 0.153

---

[5]
# Rb2Au2I7, optimized geometry, DFT PBE
# E_form (uncorrected) (kcal/mol of atoms): -12.450
# M_tot (μB per cell): 0.0
# Final energy (Ry/atom): -0.1689
data_Rb2Au2I7
_cell_length_a 13.730
_cell_length_b 15.465
_cell_length_c 5.702
_cell_angle_alpha 90.00
_cell_angle_beta 107.65
_cell_angle_gamma 90.00
_symmetry_space_group_name_H-M 'C 1 2/m 1'
_symmetry_Int_Tables_number 12
loop_
_symmetry_equiv_pos_as_xyz
'x,y,z'
'-x,-y,-z'
'-x,y,-z'
'x,-y,z'
'x+1/2,y+1/2,z'
'-x+1/2,-y+1/2,-z'
'-x+1/2,y+1/2,-z'
'x+1/2,-y+1/2,z'
loop_
_atom_site_label
_atom_site_fract_x
_atom_site_fract_y
_atom_site_fract_z
Rb1 0.000 0.220 0.000
Au1 0.214 0.500 0.686
I1 0.000 0.500 0.500
I2 0.093 0.000 0.392
I3 0.215 0.331 0.754

---

[6]
# RbAuI2, optimized geometry, DFT PBE
# E_form (uncorrected) (kcal/mol of atoms): -17.883
# M_tot (μB per cell): 0.0
# Final energy (Ry/atom): -0.1920
data_RbAuI2
_cell_length_a 6.0262
_cell_length_b 6.0262
_cell_length_c 24.1601
_cell_angle_alpha 90.00
_cell_angle_beta 90.00
_cell_angle_gamma 120.00
_symmetry_space_group_name_H-M 'R -3 m'
_symmetry_Int_Tables_number 166
_symmetry_space_group_name_Hall '-R 3 2"'
loop_
_atom_site_label
_atom_site_fract_x
_atom_site_fract_y
_atom_site_fract_z
Rb1 0.0000 0.0000 0.0000
Au1 0.0000 0.0000 0.5000
I1 0.0000 0.0000 0.3933

---

Please write out number 5 again, unchanged.
# Rb2Au2I7, optimized geometry, DFT PBE
# E_form (uncorrected) (kcal/mol of atoms): -12.450
# M_tot (μB per cell): 0.0
# Final energy (Ry/atom): -0.1689
data_Rb2Au2I7
_cell_length_a 13.730
_cell_length_b 15.465
_cell_length_c 5.702
_cell_angle_alpha 90.00
_cell_angle_beta 107.65
_cell_angle_gamma 90.00
_symmetry_space_group_name_H-M 'C 1 2/m 1'
_symmetry_Int_Tables_number 12
loop_
_symmetry_equiv_pos_as_xyz
'x,y,z'
'-x,-y,-z'
'-x,y,-z'
'x,-y,z'
'x+1/2,y+1/2,z'
'-x+1/2,-y+1/2,-z'
'-x+1/2,y+1/2,-z'
'x+1/2,-y+1/2,z'
loop_
_atom_site_label
_atom_site_fract_x
_atom_site_fract_y
_atom_site_fract_z
Rb1 0.000 0.220 0.000
Au1 0.214 0.500 0.686
I1 0.000 0.500 0.500
I2 0.093 0.000 0.392
I3 0.215 0.331 0.754

---

> Look up the M_tot of the fifth one.

0.0 μB per cell